The following is a DFT calculation (PBE-GGA) of crystalline FeCoTe at its relaxed geometry.

Volume: 19.4 Å³ per atom
Magnetization: 7.93 Bohr magnetons per cell
Uncorrected energy: -6.25 eV/atom
DOS(E_F): 0.502 states/eV/atom
ΔE_f (raw): -0.010 eV/atom
Space group: Cm (8)

The structure in extended XYZ format:
```
6
Lattice="3.438 -1.985 0.000 3.438 1.985 0.000 -2.281 0.000 8.547" Properties=species:S:1:pos:R:3 pbc="T T T"
Fe 0.000 0.000 0.000
Fe 4.585 0.000 1.789
Co 2.292 0.000 0.747
Co 2.304 0.000 7.881
Te 0.011 0.000 6.657
Te 2.293 0.000 3.219
```

The following is a DFT calculation (PBE-GGA) of crystalline Mg3SbN at its relaxed geometry.

Volume: 16.8 Å³ per atom
Magnetization: 0.00 Bohr magnetons per cell
Uncorrected energy: -4.06 eV/atom
DOS(E_F): 0.000 states/eV/atom
ΔE_f (raw): -0.617 eV/atom
Space group: Pm-3m (221)

The structure in extended XYZ format:
```
5
Lattice="4.380 0.000 0.000 0.000 4.380 0.000 0.000 0.000 4.380" Properties=species:S:1:pos:R:3 pbc="T T T"
Mg 0.000 0.000 2.190
Mg 0.000 2.190 0.000
Mg 2.190 0.000 0.000
Sb 2.190 2.190 2.190
N 0.000 0.000 0.000
```

> Number 1 is which compound?

FeCoTe